Computed, not measured: an optimized crystal structure of LaPm3HoTm at the GGA-PBE level of DFT.

Cell: 8.071 5.144 10.259 Å, 90.00 108.64 90.00°
Element x y z (fractional)
1 La 0.170 0.250 0.292
2 La 0.830 0.750 0.708
3 Pm 0.170 0.250 0.792
4 Pm 0.171 0.750 0.042
5 Pm 0.171 0.750 0.544
6 Pm 0.829 0.250 0.456
7 Pm 0.829 0.250 0.958
8 Pm 0.830 0.750 0.208
9 Ho 0.498 0.750 0.875
10 Ho 0.502 0.250 0.125
11 Tm 0.499 0.250 0.626
12 Tm 0.501 0.750 0.374

## Properties
ΔH_f (0 K) in eV per atom: 0.028
Space-group type: P2_1/m (11)


Computed, not measured: an optimized crystal structure of RbAgSbTe2 at the GGA-PBE level of DFT.

Cell: 4.353 4.554 8.593 Å, 90.00 90.00 90.00°
Element x y z (fractional)
1 Rb 0.000 0.000 0.000
2 Ag 0.000 0.500 0.500
3 Sb 0.500 0.000 0.500
4 Te 0.500 0.500 0.253
5 Te 0.500 0.500 0.747

## Properties
E_form (uncorrected) in eV per atom: -0.3142
ΔE to the lowest computed polymorph in meV per atom: 0
Space-group type: Pmmm (47)